(1)
Computed, not measured: crystalline Hf2MgNbP at its relaxed geometry at the GGA-PBEsol level of DFT.

Properties
The total energy is -31.7 eV per formula unit.

Cell: 4.855 4.855 4.636 Å, 90.00 90.00 90.00°
Sites, in units of the cell vectors:
Hf: 0.000 0.500 0.000
Hf: 0.500 0.000 0.000
Mg: 0.000 0.000 0.000
Nb: 0.000 0.000 0.500
P: 0.500 0.500 0.500

(2)
Computed, not measured: crystalline Ta2AlPt at its relaxed geometry at the GGA-PBEsol level of DFT.

Properties
The total energy is -38.2 eV per formula unit.

Cell: 3.440 4.171 8.869 Å, 90.00 90.00 90.00°
Sites, in units of the cell vectors:
Ta: 0.000 0.000 0.248
Ta: 0.000 0.000 0.752
Ta: 0.500 0.500 0.252
Ta: 0.500 0.500 0.748
Al: 0.000 0.500 0.000
Al: 0.500 0.000 0.500
Pt: 0.000 0.500 0.500
Pt: 0.500 0.000 0.000

(3)
Computed, not measured: crystalline ZnCoPt at its relaxed geometry at the GGA-PBEsol level of DFT.

Properties
The total energy is -15.8 eV per formula unit.

Cell: 5.738 5.738 5.738 Å, 90.00 90.00 90.00°
Sites, in units of the cell vectors:
Zn: 0.000 0.000 0.000
Zn: 0.000 0.500 0.500
Zn: 0.500 0.000 0.500
Zn: 0.500 0.500 0.000
Co: 0.000 0.000 0.500
Co: 0.000 0.500 0.000
Co: 0.500 0.000 0.000
Co: 0.500 0.500 0.500
Pt: 0.250 0.250 0.250
Pt: 0.250 0.750 0.750
Pt: 0.750 0.250 0.750
Pt: 0.750 0.750 0.250

| no. | DFT formation energy (eV/atom) |
| --- | --- |
| 1 | 1.531 |
| 2 | -0.518 |
| 3 | 0.172 |